The following is a DFT calculation (PBE) of a geometry-optimized TaAl2Mo2 structure.

For the energy above the most stable polymorph in this dataset, the calculation gives 74 meV per atom. The crystal system is tetragonal.

It has space group I4/mmm (No. 139), with a = 3.537 Å, b = 3.537 Å, c = 13.698 Å, α = 90.00°, β = 90.00° and γ = 90.00°. The inequivalent atoms are Ta at (0.000, 0.000, 0.000), Al at (0.000, 0.500, 0.250) and Mo at (0.000, 0.000, 0.402).